Computed, not measured: crystalline TlW at its relaxed geometry at the PBE level of DFT.

a b c (Å): 3.176 12.851 6.854
angles (deg): 90.00 90.00 90.00
Fractional positions:
Tl  0.000  0.758  0.288
Tl  0.000  0.258  0.788
W  0.000  0.000  0.341
Tl  0.500  0.000  0.962
W  0.500  0.602  0.061
Tl  0.500  0.500  0.462
W  0.500  0.398  0.061
W  0.500  0.898  0.561
W  0.000  0.500  0.841
Tl  0.000  0.742  0.788
W  0.500  0.102  0.561
Tl  0.000  0.242  0.288

As for the total energy: -6.901 eV/atom. The calculation puts the offset from the most stable computed form at 0.135 eV/atom. As for the calculated formation energy: 759 meV per atom. The total moment is 0.0 μB/f.u.

Computed, not measured: crystalline Sm2TmScBi4 at its relaxed geometry at the PBE level of DFT.

a b c (Å): 4.464 7.727 7.709
angles (deg): 109.51 90.00 90.00
Fractional positions:
Bi  0.500  0.251  0.237
Sm  0.000  0.500  0.500
Sm  0.500  0.000  0.500
Bi  0.500  0.749  0.763
Bi  0.000  0.740  0.234
Bi  0.000  0.260  0.766
Tm  0.000  0.000  0.000
Sc  0.500  0.500  0.000

As for the total energy: -5.284 eV/atom. As for the calculated formation energy: -814 meV per atom. The total moment is 0.0 μB/f.u.

Computed, not measured: crystalline Ca2SmIn4 at its relaxed geometry at the PBE level of DFT.

a b c (Å): 5.376 5.376 8.311
angles (deg): 108.87 108.87 90.00
Fractional positions:
Ca  0.254  0.254  0.507
In  0.888  0.388  0.776
Ca  0.746  0.746  0.493
In  0.388  0.888  0.776
In  0.112  0.612  0.224
In  0.612  0.112  0.224
Sm  0.000  0.000  0.000

As for the total energy: -3.128 eV/atom. As for the calculated formation energy: -317 meV per atom. The total moment is 0.0 μB/f.u.